Entry 1:
Material: PtWSN2
Method: DFT, PBE
State: relaxed

Structure (POSCAR):
```
PtWSN2
1.0
3.808 0.000 0.000
0.000 3.808 0.000
0.000 0.000 4.958
S W Pt N
1 1 1 2
Direct
0.000 0.000 0.500 S
0.500 0.500 0.500 W
0.000 0.000 0.000 Pt
0.000 0.500 0.000 N
0.500 0.000 0.000 N
```

Results
The energy relative to the lowest polymorph listed for this composition comes out at 116.7 kJ/mol of atoms. Its symmetry is P4/mmm. As for the uncorrected formation energy: 1.894 eV per atom. The calculation puts the total energy at -30.301 eV for the cell shown. The density of states at the Fermi level is 7.18 states/eV/cell.

Entry 2:
Material: YPtS2N
Method: DFT, PBE
State: relaxed

Structure (POSCAR):
```
YPtS2N
1.0
4.941 0.000 0.000
0.000 4.941 0.000
0.000 0.000 3.755
Y S Pt N
1 2 1 1
Direct
0.500 0.500 0.500 Y
0.000 0.500 0.000 S
0.500 0.000 0.000 S
0.000 0.000 0.000 Pt
0.000 0.000 0.500 N
```

Results
The energy relative to the lowest polymorph listed for this composition comes out at 0.0 kJ/mol of atoms. Its symmetry is P4/mmm. As for the uncorrected formation energy: -0.319 eV per atom. The calculation puts the total energy at -30.680 eV for the cell shown. The density of states at the Fermi level is 1.92 states/eV/cell.

Entry 3:
Material: YPtS2N
Method: DFT, PBE
State: relaxed

Structure (POSCAR):
```
YPtS2N
1.0
-2.513 3.866 2.496
-4.398 -1.180 -2.599
-1.050 -2.589 2.952
Y S Pt N
1 2 1 1
Direct
0.000 0.000 0.000 Y
0.000 0.500 0.000 S
0.500 0.000 0.000 S
0.500 0.500 0.500 Pt
0.000 0.000 0.500 N
```

Results
The energy relative to the lowest polymorph listed for this composition comes out at 113.9 kJ/mol of atoms. Its symmetry is P4/mmm. As for the uncorrected formation energy: 0.862 eV per atom. The calculation puts the total energy at -24.777 eV for the cell shown. The density of states at the Fermi level is 9.36 states/eV/cell.

Entry 4:
Material: YPtSN2
Method: DFT, PBE
State: relaxed

Structure (POSCAR):
```
YPtSN2
1.0
-3.681 0.426 1.469
1.435 -0.365 3.701
0.644 4.792 0.224
Y S Pt N
1 1 1 2
Direct
0.500 0.500 0.500 Y
0.000 0.000 0.500 S
0.000 0.000 0.000 Pt
0.000 0.500 0.000 N
0.500 0.000 0.000 N
```

Results
The energy relative to the lowest polymorph listed for this composition comes out at 0.0 kJ/mol of atoms. Its symmetry is P4/mmm. As for the uncorrected formation energy: 0.264 eV per atom. The calculation puts the total energy at -31.964 eV for the cell shown. The density of states at the Fermi level is 3.68 states/eV/cell.

Entry 5:
Material: YPtSN2
Method: DFT, PBE
State: relaxed

Structure (POSCAR):
```
YPtSN2
1.0
4.325 0.000 0.000
0.000 4.325 0.000
0.000 0.000 5.457
Y S Pt N
1 1 1 2
Direct
0.000 0.000 0.000 Y
0.000 0.000 0.500 S
0.500 0.500 0.500 Pt
0.000 0.500 0.000 N
0.500 0.000 0.000 N
```

Results
The energy relative to the lowest polymorph listed for this composition comes out at 94.3 kJ/mol of atoms. Its symmetry is P4/mmm. As for the uncorrected formation energy: 1.241 eV per atom. The calculation puts the total energy at -27.076 eV for the cell shown. The density of states at the Fermi level is 2.40 states/eV/cell.

Entry 6:
Material: ZnPtSN2
Method: DFT, PBE
State: relaxed

Structure (POSCAR):
```
ZnPtSN2
1.0
3.684 0.000 0.000
0.000 3.684 0.000
0.000 0.000 8.297
Zn S Pt N
1 1 1 2
Direct
0.500 0.500 0.500 Zn
0.000 0.000 0.500 S
0.000 0.000 0.000 Pt
0.000 0.500 0.000 N
0.500 0.000 0.000 N
```

Results
The energy relative to the lowest polymorph listed for this composition comes out at 0.0 kJ/mol of atoms. Its symmetry is P4/mmm. As for the uncorrected formation energy: 0.991 eV per atom. The calculation puts the total energy at -23.138 eV for the cell shown. The density of states at the Fermi level is 3.30 states/eV/cell.

Entry 7:
Material: ZnPtSN2
Method: DFT, PBE
State: relaxed

Structure (POSCAR):
```
ZnPtSN2
1.0
3.717 0.000 0.000
0.000 3.717 0.000
0.000 0.000 5.569
Zn S Pt N
1 1 1 2
Direct
0.000 0.000 0.000 Zn
0.000 0.000 0.500 S
0.500 0.500 0.500 Pt
0.000 0.500 0.000 N
0.500 0.000 0.000 N
```

Results
The energy relative to the lowest polymorph listed for this composition comes out at 66.6 kJ/mol of atoms. Its symmetry is P4/mmm. As for the uncorrected formation energy: 1.681 eV per atom. The calculation puts the total energy at -19.685 eV for the cell shown. The density of states at the Fermi level is 3.55 states/eV/cell.

Entry 8:
Material: ZrPtSN2
Method: DFT, PBE
State: relaxed

Structure (POSCAR):
```
ZrPtSN2
1.0
-1.383 3.670 0.463
-0.955 0.123 -3.830
-4.226 -1.718 0.999
S Zr Pt N
1 1 1 2
Direct
0.000 0.000 0.500 S
0.500 0.500 0.500 Zr
0.000 0.000 0.000 Pt
0.000 0.500 0.000 N
0.500 0.000 0.000 N
```

Results
Its symmetry is P4/mmm. As for the uncorrected formation energy: 0.710 eV per atom. The calculation puts the total energy at -31.819 eV for the cell shown. The density of states at the Fermi level is 5.07 states/eV/cell.

Record-wise magnetic moment values, in Bohr magnetons per cell: 0.00 0.00 0.00 0.70 4.13 0.00 3.43 0.00